Version w
First-principles (GGA-PBE) data for a relaxed Th2CuSe crystal, as listed in Alexandria via LeMat-Bulk.

V in Å³/atom: 26.41

Unit cell a=4.179 b=4.179 c=7.390 alpha=73.58 beta=73.58 gamma=60.00
Fractional positions:
1 Cu 0.000 0.000 0.000
2 Se 0.500 0.500 0.500
3 Th 0.254 0.254 0.238
4 Th 0.746 0.746 0.762

---

Version x
First-principles (GGA-PBE) data for a relaxed Th2CuSe crystal, as listed in Alexandria via LeMat-Bulk.

V in Å³/atom: 26.47

Unit cell a=3.962 b=3.962 c=8.117 alpha=75.88 beta=75.88 gamma=60.00
Fractional positions:
1 Th 0.078 0.078 0.766
2 Th 0.255 0.255 0.235
3 Cu 0.667 0.667 0.999
4 Se 0.500 0.500 0.501

---

Which structure is the least stable? The one labeled version x.

---

Version w
First-principles (GGA-PBE) data for a relaxed TiCu3Se crystal, as listed in Alexandria via LeMat-Bulk.

V in Å³/atom: 18.20

Unit cell a=4.498 b=4.498 c=4.498 alpha=90.00 beta=90.00 gamma=90.00
Fractional positions:
1 Cu 0.000 0.500 0.000
2 Cu 0.000 0.000 0.500
3 Cu 0.500 0.000 0.000
4 Se 0.000 0.000 0.000
5 Ti 0.500 0.500 0.500

---

Version x
First-principles (GGA-PBE) data for a relaxed TiCu3Se crystal, as listed in Alexandria via LeMat-Bulk.

V in Å³/atom: 20.39

Unit cell a=4.672 b=4.672 c=4.672 alpha=90.00 beta=90.00 gamma=90.00
Fractional positions:
1 Cu 0.000 0.500 0.000
2 Cu 0.000 0.000 0.500
3 Cu 0.500 0.000 0.000
4 Se 0.500 0.500 0.500
5 Ti 0.000 0.000 0.000

---

Which structure is the least stable? The one labeled version x.

---

Version w
First-principles (GGA-PBE) data for a relaxed Tl2CuSe crystal, as listed in Alexandria via LeMat-Bulk.

V in Å³/atom: 28.03

Unit cell a=7.537 b=7.537 c=7.537 alpha=149.71 beta=148.61 gamma=44.18
Fractional positions:
1 Cu 0.570 0.570 0.000
2 Se 0.666 0.166 0.500
3 Tl 0.988 0.988 0.000
4 Tl 0.275 0.775 0.500

---

Version x
First-principles (GGA-PBE) data for a relaxed Tl2CuSe crystal, as listed in Alexandria via LeMat-Bulk.

V in Å³/atom: 25.75

Unit cell a=8.352 b=8.352 c=8.352 alpha=155.59 beta=154.65 gamma=35.48
Fractional positions:
1 Cu 0.250 0.750 0.500
2 Se 0.750 0.250 0.500
3 Tl 0.084 0.084 0.000
4 Tl 0.416 0.416 0.000

---

Which structure is the least stable? The one labeled version x.

---

Version w
First-principles (GGA-PBE) data for a relaxed Tl2CuSe crystal, as listed in Alexandria via LeMat-Bulk.

V in Å³/atom: 25.35

Unit cell a=5.234 b=5.234 c=5.234 alpha=60.00 beta=60.00 gamma=60.00
Fractional positions:
1 Tl 0.250 0.250 0.250
2 Tl 0.750 0.750 0.750
3 Cu 0.000 0.000 0.000
4 Se 0.500 0.500 0.500

---

Version x
First-principles (GGA-PBE) data for a relaxed Tl2CuSe crystal, as listed in Alexandria via LeMat-Bulk.

V in Å³/atom: 24.71

Unit cell a=4.807 b=4.806 c=4.279 alpha=90.00 beta=90.00 gamma=90.00
Fractional positions:
1 Cu 0.500 0.000 0.500
2 Se 0.000 0.500 0.500
3 Tl 0.000 0.000 0.000
4 Tl 0.500 0.500 0.000

---

Version y
First-principles (GGA-PBE) data for a relaxed Tl2CuSe crystal, as listed in Alexandria via LeMat-Bulk.

V in Å³/atom: 26.94

Unit cell a=4.120 b=5.250 c=5.509 alpha=64.70 beta=90.00 gamma=90.00
Fractional positions:
1 Cu 0.000 0.553 0.536
2 Se 0.500 0.665 0.689
3 Tl 0.000 0.966 0.952
4 Tl 0.500 0.316 0.323

---

Which structure is the least stable? The one labeled version w.

---

Version w
First-principles (GGA-PBE) data for a relaxed Tl2CuSe crystal, as listed in Alexandria via LeMat-Bulk.

V in Å³/atom: 24.06

Unit cell a=3.750 b=3.748 c=6.847 alpha=90.00 beta=90.00 gamma=90.00
Fractional positions:
1 Cu 0.500 0.500 0.250
2 Se 0.500 0.500 0.750
3 Tl 0.000 0.000 0.006
4 Tl 0.000 0.000 0.494

---

Version x
First-principles (GGA-PBE) data for a relaxed Tl2CuSe crystal, as listed in Alexandria via LeMat-Bulk.

V in Å³/atom: 24.90

Unit cell a=5.203 b=5.203 c=5.203 alpha=60.00 beta=60.00 gamma=60.00
Fractional positions:
1 Cu 0.500 0.500 0.500
2 Se 0.250 0.250 0.250
3 Tl 0.000 0.000 0.000
4 Tl 0.750 0.750 0.750

---

Which structure is the least stable? The one labeled version x.

---

Version w
First-principles (GGA-PBE) data for a relaxed Tl3CuSe crystal, as listed in Alexandria via LeMat-Bulk.

V in Å³/atom: 28.51

Unit cell a=5.224 b=5.224 c=5.224 alpha=90.00 beta=90.00 gamma=90.00
Fractional positions:
1 Tl 0.000 0.500 0.000
2 Tl 0.000 0.000 0.500
3 Tl 0.500 0.000 0.000
4 Cu 0.000 0.000 0.000
5 Se 0.500 0.500 0.500

---

Version x
First-principles (GGA-PBE) data for a relaxed Tl3CuSe crystal, as listed in Alexandria via LeMat-Bulk.

V in Å³/atom: 44.60

Unit cell a=6.064 b=6.064 c=6.064 alpha=90.00 beta=90.00 gamma=90.00
Fractional positions:
1 Tl 0.000 0.500 0.000
2 Tl 0.000 0.000 0.500
3 Tl 0.500 0.000 0.000
4 Cu 0.500 0.500 0.500
5 Se 0.000 0.000 0.000

---

Which structure is the least stable? The one labeled version x.

---

Version w
First-principles (GGA-PBE) data for a relaxed TlCu3Se crystal, as listed in Alexandria via LeMat-Bulk.

V in Å³/atom: 20.84

Unit cell a=4.706 b=4.706 c=4.706 alpha=90.00 beta=90.00 gamma=90.00
Fractional positions:
1 Tl 0.500 0.500 0.500
2 Cu 0.000 0.500 0.000
3 Cu 0.000 0.000 0.500
4 Cu 0.500 0.000 0.000
5 Se 0.000 0.000 0.000

---

Version x
First-principles (GGA-PBE) data for a relaxed TlCu3Se crystal, as listed in Alexandria via LeMat-Bulk.

V in Å³/atom: 23.46

Unit cell a=4.895 b=4.895 c=4.895 alpha=90.00 beta=90.00 gamma=90.00
Fractional positions:
1 Tl 0.000 0.000 0.000
2 Cu 0.000 0.500 0.000
3 Cu 0.000 0.000 0.500
4 Cu 0.500 0.000 0.000
5 Se 0.500 0.500 0.500

---

Which structure is the least stable? The one labeled version x.

---

Version w
First-principles (GGA-PBE) data for a relaxed TlCu2Se2 crystal, as listed in Alexandria via LeMat-Bulk.

V in Å³/atom: 22.82

Unit cell a=6.737 b=6.737 c=6.605 alpha=110.66 beta=110.66 gamma=107.94
Fractional positions:
1 Tl 0.875 0.625 0.750
2 Tl 0.125 0.375 0.250
3 Cu 0.249 0.999 0.498
4 Cu 0.499 0.749 0.998
5 Cu 0.751 0.001 0.502
6 Cu 0.501 0.251 0.002
7 Se 0.185 0.315 0.750
8 Se 0.435 0.065 0.250
9 Se 0.565 0.935 0.750
10 Se 0.815 0.685 0.250

---

Version x
First-principles (GGA-PBE) data for a relaxed TlCu2Se2 crystal, as listed in Alexandria via LeMat-Bulk.

V in Å³/atom: 21.68

Unit cell a=3.785 b=3.785 c=7.564 alpha=90.00 beta=90.00 gamma=90.00
Fractional positions:
1 Tl 0.000 0.000 0.000
2 Cu 0.500 0.000 0.500
3 Cu 0.000 0.500 0.500
4 Se 0.500 0.500 0.718
5 Se 0.500 0.500 0.282

---

Version y
First-principles (GGA-PBE) data for a relaxed TlCu2Se2 crystal, as listed in Alexandria via LeMat-Bulk.

V in Å³/atom: 21.77

Unit cell a=3.875 b=3.875 c=7.748 alpha=75.52 beta=75.52 gamma=90.00
Fractional positions:
1 Tl 0.000 0.000 0.000
2 Cu 0.750 0.250 0.500
3 Cu 0.250 0.750 0.500
4 Se 0.356 0.356 0.288
5 Se 0.644 0.644 0.712

---

Version z
First-principles (GGA-PBE) data for a relaxed TlCu2Se2 crystal, as listed in Alexandria via LeMat-Bulk.

V in Å³/atom: 20.19

Unit cell a=8.193 b=8.193 c=3.009 alpha=90.00 beta=90.00 gamma=90.00
Fractional positions:
1 Tl 0.000 0.000 0.000
2 Tl 0.500 0.500 0.000
3 Cu 0.113 0.613 0.500
4 Cu 0.613 0.887 0.500
5 Cu 0.887 0.387 0.500
6 Cu 0.387 0.113 0.500
7 Se 0.344 0.844 0.000
8 Se 0.844 0.656 0.000
9 Se 0.656 0.156 0.000
10 Se 0.156 0.344 0.000

---

Which structure is the least stable? The one labeled version z.

---

Version w
First-principles (GGA-PBE) data for a relaxed TlCu3Se3 crystal, as listed in Alexandria via LeMat-Bulk.

V in Å³/atom: 22.72

Unit cell a=6.826 b=6.826 c=6.826 alpha=90.00 beta=90.00 gamma=90.00
Fractional positions:
1 Tl 0.500 0.500 0.500
2 Tl 0.000 0.000 0.000
3 Cu 0.250 0.000 0.500
4 Cu 0.000 0.500 0.250
5 Cu 0.500 0.750 0.000
6 Cu 0.750 0.000 0.500
7 Cu 0.000 0.500 0.750
8 Cu 0.500 0.250 0.000
9 Se 0.000 0.250 0.500
10 Se 0.000 0.750 0.500
11 Se 0.500 0.000 0.750
12 Se 0.750 0.500 0.000
13 Se 0.500 0.000 0.250
14 Se 0.250 0.500 0.000

---

Version x
First-principles (GGA-PBE) data for a relaxed TlCu3Se3 crystal, as listed in Alexandria via LeMat-Bulk.

V in Å³/atom: 23.14

Unit cell a=6.850 b=6.850 c=8.900 alpha=67.37 beta=67.37 gamma=60.00
Fractional positions:
1 Tl 0.334 0.334 0.999
2 Tl 0.666 0.666 0.001
3 Cu 0.468 0.796 0.602
4 Cu 0.796 0.134 0.602
5 Cu 0.134 0.468 0.602
6 Cu 0.866 0.532 0.398
7 Cu 0.204 0.866 0.398
8 Cu 0.532 0.204 0.398
9 Se 0.233 0.572 0.291
10 Se 0.904 0.233 0.291
11 Se 0.572 0.904 0.291
12 Se 0.428 0.096 0.709
13 Se 0.096 0.767 0.709
14 Se 0.767 0.428 0.709

---

Which structure is the least stable? The one labeled version w.

---

Version w
First-principles (GGA-PBE) data for a relaxed TlCuSe3 crystal, as listed in Alexandria via LeMat-Bulk.

V in Å³/atom: 28.89

Unit cell a=6.819 b=7.138 c=7.634 alpha=128.03 beta=95.38 gamma=80.86
Fractional positions:
1 Tl 0.522 0.646 0.732
2 Tl 0.929 0.254 0.914
3 Cu 0.121 0.758 0.140
4 Cu 0.331 0.144 0.508
5 Se 0.457 0.160 0.815
6 Se 0.569 0.835 0.236
7 Se 0.083 0.377 0.463
8 Se 0.993 0.742 0.833
9 Se 0.881 0.067 0.411
10 Se 0.369 0.525 0.185

---

Version x
First-principles (GGA-PBE) data for a relaxed TlCuSe3 crystal, as listed in Alexandria via LeMat-Bulk.

V in Å³/atom: 24.28

Unit cell a=4.951 b=4.951 c=4.951 alpha=90.00 beta=90.00 gamma=90.00
Fractional positions:
1 Tl 0.500 0.500 0.500
2 Cu 0.000 0.000 0.000
3 Se 0.000 0.500 0.000
4 Se 0.000 0.000 0.500
5 Se 0.500 0.000 0.000

---

Which structure is the least stable? The one labeled version x.

---

Version w
First-principles (GGA-PBE) data for a relaxed TlCuSe4 crystal, as listed in Alexandria via LeMat-Bulk.

V in Å³/atom: 23.49

Unit cell a=5.842 b=5.842 c=5.842 alpha=60.00 beta=60.00 gamma=60.00
Fractional positions:
1 Tl 0.750 0.750 0.750
2 Cu 0.000 0.000 0.000
3 Se 0.877 0.374 0.374
4 Se 0.374 0.374 0.877
5 Se 0.374 0.877 0.374
6 Se 0.374 0.374 0.374

---

Version x
First-principles (GGA-PBE) data for a relaxed TlCuSe4 crystal, as listed in Alexandria via LeMat-Bulk.

V in Å³/atom: 28.09

Unit cell a=4.894 b=7.270 c=18.949 alpha=90.00 beta=90.00 gamma=90.00
Fractional positions:
1 Tl 0.000 0.250 0.170
2 Tl 0.500 0.750 0.330
3 Tl 0.000 0.750 0.830
4 Tl 0.500 0.250 0.670
5 Cu 0.000 0.250 0.441
6 Cu 0.500 0.750 0.059
7 Cu 0.000 0.750 0.559
8 Cu 0.500 0.250 0.941
9 Se 0.271 0.532 0.479
10 Se 0.229 0.032 0.021
11 Se 0.729 0.968 0.479
12 Se 0.771 0.468 0.021
13 Se 0.729 0.468 0.521
14 Se 0.771 0.968 0.979
15 Se 0.271 0.032 0.521
16 Se 0.229 0.532 0.979
17 Se 0.268 0.190 0.329
18 Se 0.232 0.690 0.171
19 Se 0.732 0.310 0.329
20 Se 0.768 0.810 0.171
21 Se 0.732 0.810 0.671
22 Se 0.768 0.310 0.829
23 Se 0.268 0.690 0.671
24 Se 0.232 0.190 0.829

---

Version y
First-principles (GGA-PBE) data for a relaxed TlCuSe4 crystal, as listed in Alexandria via LeMat-Bulk.

V in Å³/atom: 27.65

Unit cell a=4.940 b=6.481 c=11.396 alpha=99.55 beta=90.00 gamma=112.40
Fractional positions:
1 Tl 0.385 0.000 0.250
2 Tl 0.615 0.000 0.750
3 Cu 0.500 0.500 0.000
4 Cu 0.000 0.500 0.500
5 Se 0.554 0.510 0.213
6 Se 0.044 0.490 0.287
7 Se 0.446 0.490 0.787
8 Se 0.956 0.510 0.713
9 Se 0.037 0.889 0.570
10 Se 0.148 0.111 0.930
11 Se 0.963 0.111 0.430
12 Se 0.852 0.889 0.070

---

Which structure is the least stable? The one labeled version w.